No. 1
Computed, not measured: a relaxed YMnB4 crystal at the PBE level of DFT.

Cell lengths 5.915, 11.436, 3.408 Å; angles 90.00, 90.00, 90.00 degrees
Fractional coordinates of all 24 atoms:
Y1 0.126 0.150 0.000
Y2 0.374 0.650 0.000
Y3 0.626 0.350 0.000
Y4 0.874 0.850 0.000
Mn1 0.127 0.416 0.000
Mn2 0.373 0.916 0.000
Mn3 0.627 0.084 0.000
Mn4 0.873 0.584 0.000
B1 0.025 0.691 0.500
B2 0.112 0.546 0.500
B3 0.138 0.968 0.500
B4 0.219 0.816 0.500
B5 0.281 0.316 0.500
B6 0.362 0.468 0.500
B7 0.388 0.046 0.500
B8 0.475 0.191 0.500
B9 0.525 0.809 0.500
B10 0.612 0.954 0.500
B11 0.638 0.532 0.500
B12 0.719 0.684 0.500
B13 0.781 0.184 0.500
B14 0.862 0.032 0.500
B15 0.888 0.454 0.500
B16 0.975 0.309 0.500

Calculated values
For the formation energy, the calculation gives -641 meV per atom. Its crystal system is orthorhombic. The total energy comes out at -7.70 eV/atom. The value obtained for the density of states at the Fermi level is 5.54 states/eV per cell.

=====

No. 2
Computed, not measured: a relaxed SiTePb2 crystal at the PBE level of DFT.

Cell lengths 4.428, 4.428, 6.214 Å; angles 90.00, 90.00, 90.00 degrees
Fractional coordinates of all 4 atoms:
Si1 0.000 0.000 0.000
Te1 0.500 0.500 0.503
Pb1 0.000 0.000 0.499
Pb2 0.500 0.500 0.003

Calculated values
Its crystal system is tetragonal. The formation energy from raw total energies is 205 meV per atom. The total energy comes out at -3.79 eV/atom. The value obtained for the density of states at the Fermi level is 2.00 states/eV per cell.

=====

No. 3
Computed, not measured: a relaxed Pr8Os3RhI4 crystal at the PBE level of DFT.

Cell lengths 8.450, 8.450, 9.535 Å; angles 116.38, 116.38, 59.93 degrees
Fractional coordinates of all 16 atoms:
Pr1 0.223 0.731 0.686
Pr2 0.229 0.229 0.687
Pr3 0.269 0.269 0.315
Pr4 0.269 0.777 0.314
Pr5 0.731 0.223 0.686
Pr6 0.731 0.731 0.685
Pr7 0.771 0.771 0.313
Pr8 0.777 0.269 0.314
Os1 0.000 0.000 0.500
Os2 0.000 0.500 0.500
Os3 0.500 0.000 0.500
Rh1 0.500 0.500 0.500
I1 0.000 0.000 0.000
I2 0.000 0.500 0.000
I3 0.500 0.000 0.000
I4 0.500 0.500 0.000

Calculated values
Its crystal system is monoclinic. The formation energy from raw total energies is -605 meV per atom. The total energy comes out at -5.95 eV/atom. The value obtained for the density of states at the Fermi level is 9.67 states/eV per cell.

=====

No. 4
Computed, not measured: a relaxed DyHo2CdRh4 crystal at the PBE level of DFT.

Cell lengths 8.214, 8.214, 8.214 Å; angles 33.68, 33.68, 33.68 degrees
Fractional coordinates of all 8 atoms:
Dy1 0.000 0.000 0.000
Ho1 0.244 0.244 0.244
Ho2 0.756 0.756 0.756
Cd1 0.500 0.500 0.500
Rh1 0.122 0.122 0.122
Rh2 0.375 0.375 0.375
Rh3 0.625 0.625 0.625
Rh4 0.878 0.878 0.878

Calculated values
For the formation energy, the calculation gives -768 meV per atom. Its crystal system is trigonal. The total energy comes out at -6.28 eV/atom. The value obtained for the density of states at the Fermi level is 3.12 states/eV per cell.

=====

No. 5
Computed, not measured: a relaxed Li4InSn2 crystal at the PBE level of DFT.

Cell lengths 6.788, 5.865, 8.249 Å; angles 90.00, 112.36, 90.00 degrees
Fractional coordinates of all 14 atoms:
Li1 0.043 0.250 0.235
Li2 0.068 0.750 0.417
Li3 0.392 0.520 0.775
Li4 0.392 0.980 0.775
Li5 0.608 0.020 0.225
Li6 0.608 0.480 0.225
Li7 0.932 0.250 0.583
Li8 0.957 0.750 0.765
In1 0.245 0.750 0.109
In2 0.755 0.250 0.891
Sn1 0.208 0.250 0.957
Sn2 0.446 0.250 0.500
Sn3 0.554 0.750 0.500
Sn4 0.792 0.750 0.043

Calculated values
For the formation energy, the calculation gives -204 meV per atom. Its crystal system is monoclinic. The total energy comes out at -2.83 eV/atom. The value obtained for the density of states at the Fermi level is 3.74 states/eV per cell.

=====

No. 6
Computed, not measured: a relaxed Ac2MnSnSe5 crystal at the PBE level of DFT.

Cell lengths 9.287, 9.287, 12.891 Å; angles 90.00, 90.00, 152.90 degrees
Fractional coordinates of all 18 atoms:
Ac1 0.115 0.885 0.500
Ac2 0.131 0.869 0.144
Ac3 0.869 0.131 0.644
Ac4 0.885 0.115 0.000
Mn1 0.455 0.545 0.231
Mn2 0.545 0.455 0.731
Sn1 0.185 0.815 0.842
Sn2 0.815 0.185 0.342
Se1 0.003 0.997 0.810
Se2 0.291 0.709 0.500
Se3 0.321 0.679 0.168
Se4 0.340 0.660 0.824
Se5 0.487 0.513 0.554
Se6 0.513 0.487 0.054
Se7 0.660 0.340 0.324
Se8 0.679 0.321 0.668
Se9 0.709 0.291 0.000
Se10 0.997 0.003 0.310

Calculated values
Its crystal system is orthorhombic. The formation energy from raw total energies is -1318 meV per atom. The total energy comes out at -5.63 eV/atom.

=====

No. 7
Computed, not measured: a relaxed Mg2ZrV crystal at the PBE level of DFT.

Cell lengths 6.169, 6.169, 6.169 Å; angles 101.09, 101.09, 127.96 degrees
Fractional coordinates of all 8 atoms:
Mg1 0.098 0.625 0.973
Mg2 0.375 0.348 0.473
Mg3 0.652 0.125 0.027
Mg4 0.875 0.902 0.527
Zr1 0.250 0.750 0.500
Zr2 0.500 0.500 0.000
V1 0.000 0.000 0.000
V2 0.750 0.250 0.500

Calculated values
For the formation energy, the calculation gives 639 meV per atom. Its crystal system is tetragonal. The total energy comes out at -4.57 eV/atom. The value obtained for the density of states at the Fermi level is 7.76 states/eV per cell.

=====

No. 8
Computed, not measured: a relaxed YMgNi2 crystal at the PBE level of DFT.

Cell lengths 8.936, 8.936, 8.936 Å; angles 151.24, 151.24, 41.13 degrees
Fractional coordinates of all 8 atoms:
Y1 0.000 0.000 0.000
Y2 0.750 0.250 0.500
Mg1 0.250 0.750 0.500
Mg2 0.500 0.500 0.000
Ni1 0.298 0.625 0.173
Ni2 0.375 0.548 0.673
Ni3 0.452 0.125 0.827
Ni4 0.875 0.702 0.327

Calculated values
For the formation energy, the calculation gives 204 meV per atom. Its crystal system is tetragonal. The total energy comes out at -4.70 eV/atom. The value obtained for the density of states at the Fermi level is 6.30 states/eV per cell.

=====

No. 9
Computed, not measured: a relaxed KSr3Ir crystal at the PBE level of DFT.

Cell lengths 10.965, 10.965, 10.965 Å; angles 142.93, 142.93, 53.43 degrees
Fractional coordinates of all 10 atoms:
K1 0.190 0.190 0.000
K2 0.810 0.810 0.000
Sr1 0.039 0.539 0.500
Sr2 0.122 0.368 0.755
Sr3 0.461 0.961 0.500
Sr4 0.613 0.368 0.245
Sr5 0.632 0.387 0.755
Sr6 0.632 0.878 0.245
Ir1 0.500 0.500 0.000
Ir2 0.750 0.250 0.500

Calculated values
For the formation energy, the calculation gives 221 meV per atom. Its crystal system is tetragonal. The total energy comes out at -2.78 eV/atom. The value obtained for the density of states at the Fermi level is 6.37 states/eV per cell.

=====

No. 10
Computed, not measured: a relaxed GaAgHg2S4 crystal at the PBE level of DFT.

Cell lengths 7.024, 7.024, 5.880 Å; angles 65.26, 65.25, 49.49 degrees
Fractional coordinates of all 8 atoms:
Ga1 0.000 0.000 0.000
Ag1 0.501 0.501 0.499
Hg1 0.250 0.250 0.250
Hg2 0.750 0.750 0.750
S1 0.118 0.655 0.882
S2 0.346 0.883 0.117
S3 0.655 0.118 0.345
S4 0.883 0.346 0.654

Calculated values
Its crystal system is orthorhombic. The formation energy from raw total energies is -316 meV per atom. The total energy comes out at -3.19 eV/atom. The value obtained for the density of states at the Fermi level is 0.67 states/eV per cell.

=====

No. 11
Computed, not measured: a relaxed Dy3Zn2Co crystal at the PBE level of DFT.

Cell lengths 11.866, 4.382, 10.299 Å; angles 90.00, 90.00, 90.00 degrees
Fractional coordinates of all 24 atoms:
Dy1 0.057 0.250 0.114
Dy2 0.108 0.750 0.558
Dy3 0.240 0.250 0.786
Dy4 0.260 0.750 0.286
Dy5 0.392 0.250 0.058
Dy6 0.443 0.750 0.614
Dy7 0.557 0.250 0.386
Dy8 0.608 0.750 0.942
Dy9 0.740 0.250 0.714
Dy10 0.760 0.750 0.214
Dy11 0.892 0.250 0.442
Dy12 0.943 0.750 0.886
Zn1 0.010 0.750 0.295
Zn2 0.205 0.750 0.990
Zn3 0.295 0.250 0.490
Zn4 0.490 0.250 0.795
Zn5 0.510 0.750 0.205
Zn6 0.705 0.750 0.510
Zn7 0.795 0.250 0.010
Zn8 0.990 0.250 0.705
Co1 0.116 0.250 0.365
Co2 0.384 0.750 0.865
Co3 0.616 0.250 0.135
Co4 0.884 0.750 0.635

Calculated values
For the formation energy, the calculation gives -272 meV per atom. Its crystal system is orthorhombic. The total energy comes out at -4.18 eV/atom. The value obtained for the density of states at the Fermi level is 24.25 states/eV per cell.

=====

No. 12
Computed, not measured: a relaxed Cs2Na2CeO4 crystal at the PBE level of DFT.

Cell lengths 7.248, 7.248, 7.057 Å; angles 109.83, 109.83, 30.31 degrees
Fractional coordinates of all 9 atoms:
Cs1 0.137 0.137 0.036
Cs2 0.863 0.863 0.964
Na1 0.323 0.323 0.531
Na2 0.677 0.677 0.469
Ce1 0.000 0.000 0.500
O1 0.172 0.172 0.631
O2 0.493 0.493 0.702
O3 0.507 0.507 0.298
O4 0.828 0.828 0.369

Calculated values
Its crystal system is monoclinic. The formation energy from raw total energies is -1915 meV per atom. The total energy comes out at -5.26 eV/atom. The value obtained for the density of states at the Fermi level is 0.00 states/eV per cell.

=====

| no. | magnetic moment (μB/cell) |
| --- | --- |
| 1 | 3.8 |
| 2 | 0.0 |
| 3 | 0.0 |
| 4 | 0.0 |
| 5 | 0.0 |
| 6 | 10.0 |
| 7 | 2.8 |
| 8 | 0.0 |
| 9 | 0.0 |
| 10 | 0.0 |
| 11 | 0.0 |
| 12 | 0.0 |